First-principles (PBE) data for crystalline CeErInOs at its relaxed geometry, as listed in Alexandria via LeMat-Bulk.

abc: 7.185 7.185 7.185
angles: 90.00 90.00 90.00
Fractional positions:
Ce 0.000 0.000 0.000
Ce 0.000 0.500 0.500
Ce 0.500 0.000 0.500
Ce 0.500 0.500 0.000
Er 0.000 0.000 0.500
Er 0.000 0.500 0.000
Er 0.500 0.000 0.000
Er 0.500 0.500 0.500
In 0.250 0.250 0.750
In 0.250 0.750 0.250
In 0.750 0.250 0.250
In 0.750 0.750 0.750
Os 0.250 0.250 0.250
Os 0.250 0.750 0.750
Os 0.750 0.250 0.750
Os 0.750 0.750 0.250

Computed properties:
Energy of formation in eV/f.u.: -0.6

First-principles (PBE) data for crystalline CeErInOs at its relaxed geometry, as listed in Alexandria via LeMat-Bulk.

abc: 3.344 3.344 8.441
angles: 90.00 90.00 90.00
Fractional positions:
Ce 0.000 0.000 0.000
Er 0.000 0.000 0.589
In 0.500 0.500 0.302
Os 0.500 0.500 0.791

Computed properties:
Energy of formation in eV/f.u.: -1.5

First-principles (PBE) data for crystalline CeErInPb at its relaxed geometry, as listed in Alexandria via LeMat-Bulk.

abc: 5.010 5.010 8.882
angles: 90.00 90.00 90.00
Fractional positions:
Ce 0.000 0.000 0.000
Ce 0.500 0.500 0.500
Er 0.000 0.000 0.500
Er 0.500 0.500 0.000
In 0.000 0.500 0.750
In 0.500 0.000 0.250
Pb 0.000 0.500 0.250
Pb 0.500 0.000 0.750

Computed properties:
Energy of formation in eV/f.u.: -1.6

First-principles (PBE) data for crystalline CeErInPb at its relaxed geometry, as listed in Alexandria via LeMat-Bulk.

abc: 7.681 7.681 7.681
angles: 90.00 90.00 90.00
Fractional positions:
Ce 0.000 0.000 0.000
Ce 0.000 0.500 0.500
Ce 0.500 0.000 0.500
Ce 0.500 0.500 0.000
Er 0.000 0.000 0.500
Er 0.000 0.500 0.000
Er 0.500 0.000 0.000
Er 0.500 0.500 0.500
In 0.250 0.250 0.250
In 0.250 0.750 0.750
In 0.750 0.250 0.750
In 0.750 0.750 0.250
Pb 0.250 0.250 0.750
Pb 0.250 0.750 0.250
Pb 0.750 0.250 0.250
Pb 0.750 0.750 0.750

Computed properties:
Energy of formation in eV/f.u.: -1.4

First-principles (PBE) data for crystalline CeErInPd at its relaxed geometry, as listed in Alexandria via LeMat-Bulk.

abc: 7.367 7.367 7.367
angles: 90.00 90.00 90.00
Fractional positions:
Ce 0.000 0.000 0.000
Ce 0.000 0.500 0.500
Ce 0.500 0.000 0.500
Ce 0.500 0.500 0.000
Er 0.000 0.000 0.500
Er 0.000 0.500 0.000
Er 0.500 0.000 0.000
Er 0.500 0.500 0.500
In 0.250 0.250 0.750
In 0.250 0.750 0.250
In 0.750 0.250 0.250
In 0.750 0.750 0.750
Pd 0.250 0.250 0.250
Pd 0.250 0.750 0.750
Pd 0.750 0.250 0.750
Pd 0.750 0.750 0.250

Computed properties:
Energy of formation in eV/f.u.: -1.9

First-principles (PBE) data for crystalline CePmErIn at its relaxed geometry, as listed in Alexandria via LeMat-Bulk.

abc: 7.676 7.676 7.676
angles: 90.00 90.00 90.00
Fractional positions:
Ce 0.000 0.000 0.000
Ce 0.000 0.500 0.500
Ce 0.500 0.000 0.500
Ce 0.500 0.500 0.000
Pm 0.250 0.250 0.250
Pm 0.250 0.750 0.750
Pm 0.750 0.250 0.750
Pm 0.750 0.750 0.250
Er 0.250 0.250 0.750
Er 0.250 0.750 0.250
Er 0.750 0.250 0.250
Er 0.750 0.750 0.750
In 0.000 0.000 0.500
In 0.000 0.500 0.000
In 0.500 0.000 0.000
In 0.500 0.500 0.500

Computed properties:
Energy of formation in eV/f.u.: -0.3

First-principles (PBE) data for crystalline CePmEr2In4 at its relaxed geometry, as listed in Alexandria via LeMat-Bulk.

abc: 9.318 9.318 9.318
angles: 33.45 33.45 33.45
Fractional positions:
Ce 0.000 0.000 0.000
Pm 0.500 0.500 0.500
Er 0.250 0.250 0.250
Er 0.750 0.750 0.750
In 0.125 0.125 0.125
In 0.375 0.375 0.375
In 0.625 0.625 0.625
In 0.875 0.875 0.875

Computed properties:
Energy of formation in eV/f.u.: -3.4

First-principles (PBE) data for crystalline CePrEr2In4 at its relaxed geometry, as listed in Alexandria via LeMat-Bulk.

abc: 9.349 9.349 9.349
angles: 33.47 33.47 33.47
Fractional positions:
Ce 0.000 0.000 0.000
Pr 0.500 0.500 0.500
Er 0.250 0.250 0.250
Er 0.750 0.750 0.750
In 0.125 0.125 0.125
In 0.375 0.375 0.375
In 0.625 0.625 0.625
In 0.875 0.875 0.875

Computed properties:
Energy of formation in eV/f.u.: -3.4

First-principles (PBE) data for crystalline CeErPuIn at its relaxed geometry, as listed in Alexandria via LeMat-Bulk.

abc: 7.535 7.535 7.535
angles: 90.00 90.00 90.00
Fractional positions:
Ce 0.000 0.000 0.000
Ce 0.000 0.500 0.500
Ce 0.500 0.000 0.500
Ce 0.500 0.500 0.000
Er 0.250 0.250 0.750
Er 0.250 0.750 0.250
Er 0.750 0.250 0.250
Er 0.750 0.750 0.750
Pu 0.250 0.250 0.250
Pu 0.250 0.750 0.750
Pu 0.750 0.250 0.750
Pu 0.750 0.750 0.250
In 0.000 0.000 0.500
In 0.000 0.500 0.000
In 0.500 0.000 0.000
In 0.500 0.500 0.500

Computed properties:
Energy of formation in eV/f.u.: -0.2

First-principles (PBE) data for crystalline CeErSc2In4 at its relaxed geometry, as listed in Alexandria via LeMat-Bulk.

abc: 9.078 9.078 9.078
angles: 33.31 33.31 33.31
Fractional positions:
Ce 0.000 0.000 0.000
Er 0.500 0.500 0.500
Sc 0.250 0.250 0.250
Sc 0.750 0.750 0.750
In 0.127 0.127 0.127
In 0.377 0.377 0.377
In 0.623 0.623 0.623
In 0.873 0.873 0.873

Computed properties:
Energy of formation in eV/f.u.: -3.1

First-principles (PBE) data for crystalline CeErIn2Se4 at its relaxed geometry, as listed in Alexandria via LeMat-Bulk.

abc: 7.309 4.213 8.096
angles: 90.00 107.32 90.00
Fractional positions:
Ce 0.000 0.000 0.000
Er 0.500 0.500 0.000
In 0.000 0.500 0.500
In 0.500 0.000 0.500
Se 0.247 0.500 0.212
Se 0.274 0.000 0.793
Se 0.726 0.000 0.207
Se 0.753 0.500 0.788

Computed properties:
Formation energy without anion corrections in kJ/mol of formula units: -967.8

First-principles (PBE) data for crystalline CeSmEr2In4 at its relaxed geometry, as listed in Alexandria via LeMat-Bulk.

abc: 9.310 9.310 9.310
angles: 33.43 33.43 33.43
Fractional positions:
Ce 0.000 0.000 0.000
Sm 0.500 0.500 0.500
Er 0.250 0.250 0.250
Er 0.750 0.750 0.750
In 0.126 0.126 0.126
In 0.376 0.376 0.376
In 0.624 0.624 0.624
In 0.874 0.874 0.874

Computed properties:
Energy of formation in eV/f.u.: -3.4

Number 1: magnetization 0.35 μB per formula unit, final energy -100.4 eV for the cell shown, density of states at the Fermi level 1.331 states/eV/atom. Number 2: magnetization 0.19 μB per formula unit, final energy -25.9 eV for the cell shown, density of states at the Fermi level 0.868 states/eV/atom. Number 3: magnetization 1.31 μB per formula unit, final energy -37.0 eV for the cell shown, density of states at the Fermi level 2.128 states/eV/atom. Number 4: magnetization 1.03 μB per formula unit, final energy -73.5 eV for the cell shown, density of states at the Fermi level 2.108 states/eV/atom. Number 5: magnetization 0.66 μB per formula unit, final energy -81.4 eV for the cell shown, density of states at the Fermi level 1.839 states/eV/atom. Number 6: magnetization 0.00 μB per formula unit, final energy -73.2 eV for the cell shown, density of states at the Fermi level 1.511 states/eV/atom. Number 7: magnetization 0.93 μB per formula unit, final energy -34.2 eV for the cell shown, density of states at the Fermi level 1.107 states/eV/atom. Number 8: magnetization 0.94 μB per formula unit, final energy -34.2 eV for the cell shown, density of states at the Fermi level 1.121 states/eV/atom. Number 9: magnetization 8.47 μB per formula unit, final energy -111.0 eV for the cell shown, density of states at the Fermi level 2.169 states/eV/atom. Number 10: magnetization 0.92 μB per formula unit, final energy -37.2 eV for the cell shown, density of states at the Fermi level 1.127 states/eV/atom. Number 11: magnetization 1.01 μB per formula unit, final energy -39.9 eV for the cell shown, density of states at the Fermi level 0.836 states/eV/atom. Number 12: magnetization 0.94 μB per formula unit, final energy -34.2 eV for the cell shown, density of states at the Fermi level 1.095 states/eV/atom.